Density functional theory data (GGA-PBE) for a relaxed structure of Li3Nd2Ag2.

Cell: 4.6589 20.8468 3.7312 Å, 90.00 90.00 90.00°
Closest atoms and distances in Å follow each position.
Space group Cmmm (No. 65)
Inequivalent atoms, fractional coordinates:
Li 0.0000 0.0000 0.0000 [2 per cell]  8 Li 3.32, 2 Nd 3.46
Li 0.0000 0.4301 0.5000 [4 per cell]  1 Ag 2.87, 1 Li 2.91
Nd 0.0000 0.1661 0.0000 [4 per cell]  6 Ag 3.11-3.23, 1 Li 3.46
Ag 0.0000 0.2924 0.5000 [4 per cell]  1 Li 2.87, 2 Ag 2.92, 4 Nd 3.11

The calculation puts the magnetization at 0.000 μB/f.u. The value obtained for the total energy is -0.1126 hartree per atom. The value obtained for the formation energy is -0.067 eV per atom. The value obtained for the density of states at the Fermi level is 11.62 states/eV/cell.